Material: ReHg3Cl
Method: DFT, GGA-PBE
State: relaxed

Values from the calculation:
Polymorph energy (0 for the lowest one): 0.784 eV per atom
Mass density: 7.138 g/cm³
Formation energy without anion corrections: 145 kJ/mol of atoms
E_tot: -1.532 eV/atom
N(E_F): 0.894 states/eV per atom

CIF file:
```
data_ReHg3Cl
_chemical_formula_sum 'Re1 Hg3 Cl1'
_symmetry_space_group_name_H-M 'P 1'
_symmetry_Int_Tables_number 1
_cell_length_a 5.7645
_cell_length_b 5.7645
_cell_length_c 5.7645
_cell_angle_alpha 90.00
_cell_angle_beta 90.00
_cell_angle_gamma 90.00
loop_
_symmetry_equiv_pos_as_xyz
'x,y,z'
loop_
_atom_site_label
_atom_site_fract_x
_atom_site_fract_y
_atom_site_fract_z
Re1 0.5000 0.5000 0.5000
Hg1 0.0000 0.5000 0.0000
Hg2 0.0000 0.0000 0.5000
Hg3 0.5000 0.0000 0.0000
Cl1 0.0000 0.0000 0.0000
```